# La6InGa2 (PBE, optimized geometry)
# Total magnetic moment ... 0.00 μB per formula unit
# Energy above the lowest structure with this stoichiometry ... 0.000 eV per atom
data_La6InGa2
_cell_length_a 9.120
_cell_length_b 9.120
_cell_length_c 9.120
_cell_angle_alpha 105.32
_cell_angle_beta 111.30
_cell_angle_gamma 111.87
_space_group_name_H-M_alt 'P 1'
_space_group_IT_number 1
loop_
_space_group_symop_operation_xyz
'x,y,z'
loop_
_atom_site_label
_atom_site_type_symbol
_atom_site_fract_x
_atom_site_fract_y
_atom_site_fract_z
La1 La 0.539 0.721 0.818
La2 La 0.461 0.279 0.182
La3 La 0.097 0.279 0.818
La4 La 0.903 0.721 0.182
La5 La 0.799 0.755 0.554
La6 La 0.201 0.245 0.446
La7 La 0.201 0.755 0.955
La8 La 0.799 0.245 0.045
La9 La 0.707 0.382 0.675
La10 La 0.293 0.618 0.325
La11 La 0.293 0.968 0.675
La12 La 0.707 0.032 0.325
In1 In 0.000 0.500 0.500
In2 In 0.000 0.000 0.000
Ga1 Ga 0.500 0.381 0.881
Ga2 Ga 0.500 0.619 0.119
Ga3 Ga 0.646 0.000 0.646
Ga4 Ga 0.354 0.000 0.354

***

# Ta2CrPt (PBE, optimized geometry)
# Total DFT energy (no corrections) ... -9.304 eV/atom
# Total magnetic moment ... 0.00 μB per formula unit
data_Ta2CrPt
_cell_length_a 3.962
_cell_length_b 3.962
_cell_length_c 9.424
_cell_angle_alpha 77.87
_cell_angle_beta 77.87
_cell_angle_gamma 90.00
_space_group_name_H-M_alt 'P 1'
_space_group_IT_number 1
loop_
_space_group_symop_operation_xyz
'x,y,z'
loop_
_atom_site_label
_atom_site_type_symbol
_atom_site_fract_x
_atom_site_fract_y
_atom_site_fract_z
Cr1 Cr 0.500 0.500 0.000
Cr2 Cr 0.250 0.750 0.500
Pt1 Pt 0.000 0.000 0.000
Pt2 Pt 0.750 0.250 0.500
Ta1 Ta 0.616 0.125 0.250
Ta2 Ta 0.134 0.625 0.250
Ta3 Ta 0.375 0.384 0.750
Ta4 Ta 0.875 0.866 0.750

***

# TlAgTe2 (PBE, optimized geometry)
# Total magnetic moment ... 0.00 μB per formula unit
# Uncorrected formation energy ... -0.052 eV per atom
data_TlAgTe2
_cell_length_a 6.151
_cell_length_b 6.151
_cell_length_c 7.516
_cell_angle_alpha 65.84
_cell_angle_beta 65.84
_cell_angle_gamma 90.00
_space_group_name_H-M_alt 'P 1'
_space_group_IT_number 1
loop_
_space_group_symop_operation_xyz
'x,y,z'
loop_
_atom_site_label
_atom_site_type_symbol
_atom_site_fract_x
_atom_site_fract_y
_atom_site_fract_z
Tl1 Tl 0.000 0.000 0.000
Tl2 Tl 0.750 0.250 0.500
Te1 Te 0.733 0.733 0.534
Te2 Te 0.017 0.517 0.966
Te3 Te 0.267 0.267 0.466
Te4 Te 0.483 0.983 0.034
Ag1 Ag 0.500 0.500 0.000
Ag2 Ag 0.250 0.750 0.500

***

# TaInAu2 (PBE, optimized geometry)
# Total DFT energy (no corrections) ... -5.229 eV/atom
# Total magnetic moment ... 0.00 μB per formula unit
data_TaInAu2
_cell_length_a 4.866
_cell_length_b 4.866
_cell_length_c 5.549
_cell_angle_alpha 82.51
_cell_angle_beta 82.51
_cell_angle_gamma 36.36
_space_group_name_H-M_alt 'P 1'
_space_group_IT_number 1
loop_
_space_group_symop_operation_xyz
'x,y,z'
loop_
_atom_site_label
_atom_site_type_symbol
_atom_site_fract_x
_atom_site_fract_y
_atom_site_fract_z
Au1 Au 0.994 0.994 0.020
Au2 Au 0.506 0.506 0.480
In1 In 0.750 0.750 0.750
Ta1 Ta 0.250 0.250 0.250

***

# RePPt2 (PBE, optimized geometry)
# Total magnetic moment ... 0.00 μB per formula unit
# Energy above the lowest structure with this stoichiometry ... 0.322 eV per atom
data_RePPt2
_cell_length_a 3.738
_cell_length_b 3.738
_cell_length_c 4.235
_cell_angle_alpha 90.00
_cell_angle_beta 90.00
_cell_angle_gamma 90.00
_space_group_name_H-M_alt 'P 1'
_space_group_IT_number 1
loop_
_space_group_symop_operation_xyz
'x,y,z'
loop_
_atom_site_label
_atom_site_type_symbol
_atom_site_fract_x
_atom_site_fract_y
_atom_site_fract_z
Re1 Re 0.500 0.500 0.500
P1 P 0.000 0.000 0.500
Pt1 Pt 0.000 0.500 0.000
Pt2 Pt 0.500 0.000 0.000

***

# Be6In (PBE, optimized geometry)
# Total DFT energy (no corrections) ... -2.450 eV/atom
# Total magnetic moment ... 0.00 μB per formula unit
data_Be6In
_cell_length_a 5.072
_cell_length_b 5.072
_cell_length_c 5.072
_cell_angle_alpha 109.47
_cell_angle_beta 109.47
_cell_angle_gamma 109.47
_space_group_name_H-M_alt 'P 1'
_space_group_IT_number 1
loop_
_space_group_symop_operation_xyz
'x,y,z'
loop_
_atom_site_label
_atom_site_type_symbol
_atom_site_fract_x
_atom_site_fract_y
_atom_site_fract_z
Be1 Be 0.250 0.750 0.500
Be2 Be 0.500 0.750 0.250
Be3 Be 0.250 0.500 0.750
Be4 Be 0.750 0.250 0.500
Be5 Be 0.500 0.250 0.750
Be6 Be 0.750 0.500 0.250
In1 In 0.000 0.000 0.000

***

# Tm8NiSn2 (PBE, optimized geometry)
# Total DFT energy (no corrections) ... -4.841 eV/atom
# Total magnetic moment ... 0.00 μB per formula unit
data_Tm8NiSn2
_cell_length_a 4.856
_cell_length_b 6.637
_cell_length_c 9.636
_cell_angle_alpha 102.02
_cell_angle_beta 104.60
_cell_angle_gamma 90.00
_space_group_name_H-M_alt 'P 1'
_space_group_IT_number 1
loop_
_space_group_symop_operation_xyz
'x,y,z'
loop_
_atom_site_label
_atom_site_type_symbol
_atom_site_fract_x
_atom_site_fract_y
_atom_site_fract_z
Tm1 Tm 0.408 0.522 0.817
Tm2 Tm 0.642 0.009 0.283
Tm3 Tm 0.784 0.678 0.567
Tm4 Tm 0.985 0.221 0.971
Tm5 Tm 0.216 0.322 0.433
Tm6 Tm 0.358 0.991 0.717
Tm7 Tm 0.592 0.478 0.183
Tm8 Tm 0.015 0.779 0.029
Ni1 Ni 0.500 0.000 0.000
Sn1 Sn 0.817 0.232 0.634
Sn2 Sn 0.183 0.768 0.366

***

# AlPtBr (PBE, optimized geometry)
# Total magnetic moment ... 0.00 μB per formula unit
# Uncorrected formation energy ... -0.547 eV per atom
# Energy above the lowest structure with this stoichiometry ... 0.159 eV per atom
data_AlPtBr
_cell_length_a 6.778
_cell_length_b 6.778
_cell_length_c 6.778
_cell_angle_alpha 150.63
_cell_angle_beta 154.40
_cell_angle_gamma 39.35
_space_group_name_H-M_alt 'P 1'
_space_group_IT_number 1
loop_
_space_group_symop_operation_xyz
'x,y,z'
loop_
_atom_site_label
_atom_site_type_symbol
_atom_site_fract_x
_atom_site_fract_y
_atom_site_fract_z
Br1 Br 0.681 0.681 0.000
Pt1 Pt 0.451 0.451 0.000
Al1 Al 0.868 0.868 0.000

***

# Zn3Cr12Ga2Se24 (PBE, optimized geometry)
# Total magnetic moment ... 35.91 μB per formula unit
# Uncorrected formation energy ... -0.571 eV per atom
data_Zn3Cr12Ga2Se24
_cell_length_a 7.484
_cell_length_b 16.722
_cell_length_c 7.484
_cell_angle_alpha 77.07
_cell_angle_beta 90.00
_cell_angle_gamma 77.07
_space_group_name_H-M_alt 'P 1'
_space_group_IT_number 1
loop_
_space_group_symop_operation_xyz
'x,y,z'
loop_
_atom_site_label
_atom_site_type_symbol
_atom_site_fract_x
_atom_site_fract_y
_atom_site_fract_z
Zn1 Zn 0.958 0.585 0.208
Zn2 Zn 0.292 0.915 0.542
Zn3 Zn 0.375 0.750 0.125
Cr1 Cr 0.168 0.164 0.154
Cr2 Cr 0.502 0.497 0.498
Cr3 Cr 0.833 0.833 0.833
Cr4 Cr 0.168 0.164 0.681
Cr5 Cr 0.502 0.497 0.005
Cr6 Cr 0.833 0.833 0.333
Cr7 Cr 0.495 0.003 0.998
Cr8 Cr 0.819 0.336 0.332
Cr9 Cr 0.167 0.667 0.667
Cr10 Cr 0.002 0.003 0.998
Cr11 Cr 0.346 0.336 0.332
Cr12 Cr 0.667 0.667 0.667
Ga1 Ga 0.044 0.412 0.794
Ga2 Ga 0.706 0.088 0.456
Se1 Se 0.580 0.340 0.097
Se2 Se 0.913 0.674 0.434
Se3 Se 0.247 0.006 0.768
Se4 Se 0.580 0.340 0.563
Se5 Se 0.913 0.674 0.892
Se6 Se 0.247 0.006 0.226
Se7 Se 0.937 0.160 0.920
Se8 Se 0.274 0.494 0.253
Se9 Se 0.608 0.826 0.587
Se10 Se 0.403 0.160 0.920
Se11 Se 0.732 0.494 0.253
Se12 Se 0.066 0.826 0.587
Se13 Se 0.087 0.326 0.565
Se14 Se 0.421 0.659 0.899
Se15 Se 0.753 0.995 0.233
Se16 Se 0.087 0.326 0.109
Se17 Se 0.421 0.659 0.442
Se18 Se 0.753 0.995 0.772
Se19 Se 0.728 0.505 0.747
Se20 Se 0.058 0.841 0.079
Se21 Se 0.391 0.174 0.413
Se22 Se 0.267 0.505 0.747
Se23 Se 0.601 0.841 0.079
Se24 Se 0.935 0.174 0.413

***

# Be2Sn2Pb (PBE, optimized geometry)
# Total magnetic moment ... 0.00 μB per formula unit
# Energy above the lowest structure with this stoichiometry ... 0.000 eV per atom
data_Be2Sn2Pb
_cell_length_a 4.373
_cell_length_b 4.373
_cell_length_c 6.409
_cell_angle_alpha 70.05
_cell_angle_beta 70.05
_cell_angle_gamma 90.00
_space_group_name_H-M_alt 'P 1'
_space_group_IT_number 1
loop_
_space_group_symop_operation_xyz
'x,y,z'
loop_
_atom_site_label
_atom_site_type_symbol
_atom_site_fract_x
_atom_site_fract_y
_atom_site_fract_z
Pb1 Pb 0.000 0.000 0.000
Be1 Be 0.750 0.250 0.500
Be2 Be 0.250 0.750 0.500
Sn1 Sn 0.369 0.369 0.262
Sn2 Sn 0.631 0.631 0.738